(1)
Crystalline ErTh5Sb4 at its relaxed geometry. Source: Alexandria, functional PBE.

* crystal system: monoclinic
* symmetry: C2/m (12)
* total DFT energy (no corrections): -6.3045 eV/atom
* magnetization: 0.00 μB per formula unit

a = 9.533 Å, b = 9.533 Å, c = 8.720 Å
α = 101.35°, β = 101.35°, γ = 25.60°
Fractional positions:
Er: 0.000 0.000 0.000
Th: 0.000 0.000 0.500
Th: 0.316 0.316 0.645
Th: 0.334 0.334 0.203
Th: 0.666 0.666 0.797
Th: 0.684 0.684 0.355
Sb: 0.165 0.165 0.070
Sb: 0.491 0.491 0.756
Sb: 0.509 0.509 0.244
Sb: 0.835 0.835 0.930

***

(2)
Crystalline Er2Th2Sb5 at its relaxed geometry. Source: Alexandria, functional PBE.

* crystal system: orthorhombic
* symmetry: Cmce (64)
* total DFT energy (no corrections): -5.7928 eV/atom
* magnetization: 0.00 μB per formula unit

a = 8.862 Å, b = 8.862 Å, c = 8.255 Å
α = 90.00°, β = 90.00°, γ = 55.45°
Fractional positions:
Er: 0.151 0.849 0.846
Er: 0.349 0.651 0.346
Er: 0.651 0.349 0.654
Er: 0.849 0.151 0.154
Th: 0.194 0.194 0.500
Th: 0.306 0.306 0.000
Th: 0.694 0.694 0.000
Th: 0.806 0.806 0.500
Sb: 0.000 0.000 0.500
Sb: 0.018 0.710 0.152
Sb: 0.210 0.518 0.652
Sb: 0.290 0.982 0.152
Sb: 0.482 0.790 0.652
Sb: 0.500 0.500 0.000
Sb: 0.518 0.210 0.348
Sb: 0.710 0.018 0.848
Sb: 0.790 0.482 0.348
Sb: 0.982 0.290 0.848

***

(3)
Crystalline Er3ThSb4 at its relaxed geometry. Source: Alexandria, functional PBE.

* crystal system: orthorhombic
* symmetry: Cmmm (65)
* total DFT energy (no corrections): -5.7550 eV/atom
* magnetization: 0.00 μB per formula unit

a = 7.604 Å, b = 7.604 Å, c = 4.402 Å
α = 90.00°, β = 90.00°, γ = 109.50°
Fractional positions:
Er: 0.000 0.000 0.000
Er: 0.000 0.500 0.500
Er: 0.500 0.000 0.500
Th: 0.500 0.500 0.000
Sb: 0.242 0.242 0.500
Sb: 0.247 0.753 0.000
Sb: 0.753 0.247 0.000
Sb: 0.758 0.758 0.500

***

(4)
Crystalline ErTh3Sb4 at its relaxed geometry. Source: Alexandria, functional PBE.

* excess energy over the best structure of this formula in the dataset: 4 meV per atom
* crystal system: orthorhombic
* symmetry: Cmmm (65)
* magnetization: 0.00 μB per formula unit

a = 7.744 Å, b = 7.744 Å, c = 4.468 Å
α = 90.00°, β = 90.00°, γ = 109.41°
Fractional positions:
Er: 0.000 0.000 0.000
Th: 0.000 0.500 0.500
Th: 0.500 0.000 0.500
Th: 0.500 0.500 0.000
Sb: 0.242 0.242 0.500
Sb: 0.246 0.754 0.000
Sb: 0.754 0.246 0.000
Sb: 0.758 0.758 0.500

***

(5)
Crystalline ErTh5Sb6 at its relaxed geometry. Source: Alexandria, functional PBE.

* crystal system: monoclinic
* symmetry: C2/m (12)
* total DFT energy (no corrections): -6.4652 eV/atom
* magnetization: 0.00 μB per formula unit

a = 7.765 Å, b = 7.765 Å, c = 7.767 Å
α = 99.61°, β = 99.61°, γ = 120.06°
Fractional positions:
Er: 0.000 0.000 0.000
Th: 0.170 0.830 0.500
Th: 0.335 0.665 0.000
Th: 0.500 0.500 0.500
Th: 0.665 0.335 0.000
Th: 0.830 0.170 0.500
Sb: 0.081 0.407 0.244
Sb: 0.243 0.243 0.751
Sb: 0.407 0.081 0.244
Sb: 0.593 0.919 0.756
Sb: 0.757 0.757 0.249
Sb: 0.919 0.593 0.756

***

(6)
Crystalline Er5Th3Sb8 at its relaxed geometry. Source: Alexandria, functional PBE.

* crystal system: trigonal
* symmetry: R-3m (166)
* total DFT energy (no corrections): -5.9038 eV/atom
* magnetization: 0.00 μB per formula unit

a = 8.813 Å, b = 8.813 Å, c = 8.813 Å
α = 60.19°, β = 60.19°, γ = 60.19°
Fractional positions:
Er: 0.000 0.000 0.000
Er: 0.000 0.500 0.500
Er: 0.500 0.000 0.500
Er: 0.500 0.500 0.000
Er: 0.500 0.500 0.500
Th: 0.000 0.000 0.500
Th: 0.000 0.500 0.000
Th: 0.500 0.000 0.000
Sb: 0.250 0.250 0.743
Sb: 0.250 0.743 0.250
Sb: 0.254 0.254 0.254
Sb: 0.257 0.750 0.750
Sb: 0.743 0.250 0.250
Sb: 0.746 0.746 0.746
Sb: 0.750 0.257 0.750
Sb: 0.750 0.750 0.257

***

(7)
Crystalline Er3ThSb3 at its relaxed geometry. Source: Alexandria, functional PBE.

* crystal system: trigonal
* symmetry: R-3 (148)
* total DFT energy (no corrections): -5.5689 eV/atom
* magnetization: 0.00 μB per formula unit

a = 8.047 Å, b = 8.047 Å, c = 8.047 Å
α = 68.54°, β = 68.54°, γ = 68.54°
Fractional positions:
Er: 0.083 0.350 0.814
Er: 0.186 0.917 0.650
Er: 0.350 0.814 0.083
Er: 0.650 0.186 0.917
Er: 0.814 0.083 0.350
Er: 0.917 0.650 0.186
Th: 0.333 0.333 0.333
Th: 0.667 0.667 0.667
Sb: 0.082 0.706 0.463
Sb: 0.294 0.537 0.918
Sb: 0.463 0.082 0.706
Sb: 0.537 0.918 0.294
Sb: 0.706 0.463 0.082
Sb: 0.918 0.294 0.537

***

(8)
Crystalline ErTh2Sb4 at its relaxed geometry. Source: Alexandria, functional PBE.

* crystal system: tetragonal
* symmetry: I-42d (122)
* total DFT energy (no corrections): -6.0141 eV/atom
* magnetization: 0.00 μB per formula unit

a = 8.100 Å, b = 8.100 Å, c = 8.100 Å
α = 109.77°, β = 109.77°, γ = 108.87°
Fractional positions:
Er: 0.000 0.000 0.000
Er: 0.750 0.250 0.500
Th: 0.255 0.625 0.130
Th: 0.375 0.505 0.630
Th: 0.495 0.125 0.870
Th: 0.875 0.745 0.370
Sb: 0.114 0.212 0.743
Sb: 0.121 0.718 0.757
Sb: 0.282 0.038 0.403
Sb: 0.468 0.371 0.257
Sb: 0.629 0.886 0.097
Sb: 0.636 0.879 0.597
Sb: 0.788 0.532 0.903
Sb: 0.962 0.364 0.243